Record 1
A geometry-optimized Cs2I structure, computed with GGA-PBE.

Unit cell a=4.7946 b=4.7946 c=9.8202 alpha=104.15 beta=104.15 gamma=90.01
Fractional coordinates of all 3 atoms:
1 Cs 0.1230 0.1230 0.2462
2 Cs 0.8770 0.8770 0.7538
3 I 0.5000 0.5000 0.0000

**Calculated volume**: 70.61 Å³ per atom
**Space-group type**: No. 139
**E above lowest polymorph**: 20 meV per atom
**Uncorrected formation energy**: -0.9697 eV/atom

***

Record 2
A geometry-optimized Cs4I structure, computed with GGA-PBE.

Unit cell a=9.7892 b=9.0435 c=14.7371 alpha=100.62 beta=70.60 gamma=57.23
Fractional coordinates of all 10 atoms:
1 Cs 0.8195 0.8505 0.4529
2 Cs 0.5363 0.4146 0.3067
3 Cs 0.1229 0.6495 0.0471
4 Cs 0.8771 0.3505 0.9529
5 Cs 0.1805 0.1495 0.5471
6 Cs 0.7423 0.9146 0.8067
7 Cs 0.2577 0.0854 0.1933
8 Cs 0.4637 0.5854 0.6933
9 I 0.3359 0.2500 0.7500
10 I 0.6641 0.7500 0.2500

**Calculated volume**: 91.94 Å³ per atom
**Space-group type**: No. 15
**E above lowest polymorph**: 28 meV per atom
**Uncorrected formation energy**: -0.5447 eV/atom

***

Record 3
A geometry-optimized Cs3I structure, computed with GGA-PBE.

Unit cell a=5.0580 b=9.2356 c=9.3872 alpha=119.47 beta=105.63 gamma=90.00
Fractional coordinates of all 4 atoms:
1 Cs 0.5000 0.3629 0.0000
2 Cs 0.3309 0.7127 0.6617
3 Cs 0.6691 0.0510 0.3383
4 I 0.0000 0.0401 0.0000

**Calculated volume**: 90.76 Å³ per atom
**Space-group type**: No. 44
**E above lowest polymorph**: 5 meV per atom
**Uncorrected formation energy**: -0.7048 eV/atom

***

Record 4
A geometry-optimized Cs6I5 structure, computed with GGA-PBE.

Unit cell a=9.6102 b=9.5969 c=9.6140 alpha=80.41 beta=70.57 gamma=59.95
Fractional coordinates of all 11 atoms:
1 I 0.6668 0.6664 0.0000
2 I 0.1667 0.6666 0.5000
3 I 0.5000 0.0000 0.5000
4 I 0.8333 0.3334 0.5000
5 I 0.3332 0.3336 0.0000
6 Cs 0.2506 0.0000 0.2504
7 Cs 0.5836 0.3333 0.2500
8 Cs 0.4164 0.6667 0.7500
9 Cs 0.0831 0.3333 0.7500
10 Cs 0.9169 0.6667 0.2500
11 Cs 0.7494 0.0000 0.7496

**Calculated volume**: 65.80 Å³ per atom
**Space-group type**: No. 12
**Uncorrected formation energy**: -1.3847 eV/atom

***

Record 5
A geometry-optimized CsI structure, computed with GGA-PBE.

Unit cell a=6.6455 b=6.6455 c=7.7501 alpha=90.00 beta=90.00 gamma=120.00
Fractional coordinates of all 4 atoms:
1 Cs 0.6667 0.3333 0.2500
2 Cs 0.3333 0.6667 0.7500
3 I 0.6667 0.3333 0.7500
4 I 0.3333 0.6667 0.2500

**Calculated volume**: 74.10 Å³ per atom
**Space-group type**: No. 194
**Uncorrected formation energy**: -1.5115 eV/atom

***

Record 6
A geometry-optimized CsI3 structure, computed with GGA-PBE.

Unit cell a=6.7711 b=6.7711 c=11.7348 alpha=73.23 beta=73.23 gamma=90.00
Fractional coordinates of all 8 atoms:
1 I 0.2161 0.6250 0.2500
2 I 0.2500 0.7500 0.5000
3 I 0.5339 0.1250 0.2500
4 I 0.3750 0.4661 0.7500
5 I 0.8750 0.7839 0.7500
6 I 0.5000 0.5000 0.0000
7 Cs 0.0000 0.0000 0.0000
8 Cs 0.7500 0.2500 0.5000

**Calculated volume**: 61.40 Å³ per atom
**Space-group type**: No. 122
**Uncorrected formation energy**: -0.5481 eV/atom

***

Record 7
A geometry-optimized CsI structure, computed with GGA-PBE.

Unit cell a=13.1216 b=13.1216 c=7.7342 alpha=90.00 beta=90.00 gamma=90.00
Fractional coordinates of all 16 atoms:
1 Cs 0.8553 0.3518 0.0000
2 Cs 0.6482 0.8553 0.0000
3 Cs 0.8518 0.6447 0.5000
4 Cs 0.6447 0.1482 0.5000
5 Cs 0.1447 0.6482 0.0000
6 Cs 0.3553 0.8518 0.5000
7 Cs 0.1482 0.3553 0.5000
8 Cs 0.3518 0.1447 0.0000
9 I 0.1458 0.6488 0.5000
10 I 0.1488 0.3542 0.0000
11 I 0.3512 0.1458 0.5000
12 I 0.3542 0.8512 0.0000
13 I 0.6458 0.1488 0.0000
14 I 0.8542 0.3512 0.5000
15 I 0.8512 0.6458 0.0000
16 I 0.6488 0.8542 0.5000

**Calculated volume**: 83.23 Å³ per atom
**Space-group type**: No. 87
**Uncorrected formation energy**: -1.5025 eV/atom

***

Record 8
A geometry-optimized Cs3I4 structure, computed with GGA-PBE.

Unit cell a=5.5405 b=5.2605 c=14.6013 alpha=100.38 beta=100.94 gamma=90.00
Site moments in Bohr magnetons follow the coordinates.
Fractional coordinates of all 7 atoms:
1 I 0.9414 0.4414 0.8827  0.29
2 I 0.6812 0.6812 0.3625  0.04
3 I 0.3188 0.3188 0.6375  0.04
4 I 0.0586 0.5586 0.1173  0.29
5 Cs 0.8198 0.8198 0.6397  0.00
6 Cs 0.5000 0.0000 0.0000  0.00
7 Cs 0.1802 0.1802 0.3603  0.00

**Calculated volume**: 58.68 Å³ per atom
**Space-group type**: No. 71
**Uncorrected formation energy**: -1.2376 eV/atom

***

Record 9
A geometry-optimized Cs3I structure, computed with GGA-PBE.

Unit cell a=5.0531 b=5.2222 c=13.7353 alpha=90.00 beta=90.00 gamma=90.00
Fractional coordinates of all 4 atoms:
1 I 0.0000 0.0000 0.9966
2 Cs 0.5000 0.5000 0.1024
3 Cs 0.0000 0.5000 0.4622
4 Cs 0.5000 0.0000 0.7721

**Calculated volume**: 90.61 Å³ per atom
**Space-group type**: No. 25
**E above lowest polymorph**: 0 meV per atom
**Uncorrected formation energy**: -0.7095 eV/atom

***

Record 10
A geometry-optimized CsI3 structure, computed with GGA-PBE.

Unit cell a=7.2232 b=10.4621 c=11.2625 alpha=90.00 beta=90.00 gamma=90.00
Fractional coordinates of all 16 atoms:
1 I 0.7500 0.8700 0.3335
2 I 0.7500 0.0585 0.1302
3 I 0.7500 0.4415 0.6302
4 I 0.2500 0.5585 0.3698
5 I 0.7500 0.2412 0.9368
6 I 0.2500 0.7412 0.5632
7 I 0.2500 0.3700 0.1665
8 I 0.2500 0.9415 0.8698
9 I 0.7500 0.6300 0.8335
10 I 0.2500 0.1300 0.6665
11 I 0.2500 0.7588 0.0632
12 I 0.7500 0.2588 0.4368
13 Cs 0.2500 0.0313 0.3184
14 Cs 0.7500 0.5313 0.1816
15 Cs 0.7500 0.9687 0.6816
16 Cs 0.2500 0.4687 0.8184

**Calculated volume**: 53.19 Å³ per atom
**Space-group type**: No. 62
**Uncorrected formation energy**: -0.8198 eV/atom

***

Record 11
A geometry-optimized CsI5 structure, computed with GGA-PBE.

Unit cell a=6.2188 b=6.4632 c=17.6888 alpha=90.00 beta=90.00 gamma=103.97
Fractional coordinates of all 12 atoms:
1 I 0.3333 0.0531 0.7500
2 I 0.8914 0.6830 0.9643
3 I 0.3873 0.1426 0.3691
4 I 0.6127 0.8574 0.8691
5 I 0.6667 0.9469 0.2500
6 I 0.3873 0.1426 0.1309
7 I 0.8914 0.6830 0.5357
8 I 0.1086 0.3170 0.4643
9 I 0.1086 0.3170 0.0357
10 I 0.6127 0.8574 0.6309
11 Cs 0.0734 0.5337 0.2500
12 Cs 0.9266 0.4663 0.7500

**Calculated volume**: 57.50 Å³ per atom
**Space-group type**: No. 11
**Uncorrected formation energy**: -0.5248 eV/atom

***

Record 12
A geometry-optimized CsI3 structure, computed with GGA-PBE.

Unit cell a=4.7359 b=4.6899 c=9.3261 alpha=90.00 beta=90.00 gamma=90.00
Site moments in Bohr magnetons follow the coordinates.
Fractional coordinates of all 4 atoms:
1 I 0.5000 0.0000 0.4907  0.07
2 I 0.0000 0.0000 0.9307  0.00
3 I 0.5000 0.5000 0.9309  0.00
4 Cs 0.0000 0.5000 0.3144  0.00

**Calculated volume**: 51.79 Å³ per atom
**Space-group type**: No. 25
**Uncorrected formation energy**: -0.6055 eV/atom

***

Record 13
A geometry-optimized CsI structure, computed with GGA-PBE.

Unit cell a=10.6845 b=10.6845 c=10.6845 alpha=90.00 beta=90.00 gamma=90.00
Site moments in Bohr magnetons follow the coordinates.
Fractional coordinates of all 12 atoms:
1 I 0.5000 0.0000 0.2500  0.06
2 I 0.0000 0.7500 0.5000  0.06
3 I 0.7500 0.5000 0.0000  0.06
4 I 0.0000 0.2500 0.5000  0.06
5 I 0.5000 0.0000 0.7500  0.06
6 I 0.2500 0.5000 0.0000  0.06
7 Cs 0.7500 0.0000 0.5000  0.00
8 Cs 0.5000 0.7500 0.0000  0.00
9 Cs 0.0000 0.5000 0.7500  0.00
10 Cs 0.0000 0.5000 0.2500  0.00
11 Cs 0.2500 0.0000 0.5000  0.00
12 Cs 0.5000 0.2500 0.0000  0.00

**Calculated volume**: 101.64 Å³ per atom
**Space-group type**: No. 223
**Uncorrected formation energy**: -1.4522 eV/atom

***

Record 14
A geometry-optimized CsI3 structure, computed with GGA-PBE.

Unit cell a=5.5213 b=5.5251 c=9.4990 alpha=106.91 beta=106.90 gamma=90.00
Fractional coordinates of all 4 atoms:
1 I 0.3301 0.4965 0.6603
2 I 0.5000 0.6667 0.0000
3 I 0.6699 0.8362 0.3397
4 Cs 0.0000 0.1672 0.0000

**Calculated volume**: 66.04 Å³ per atom
**Space-group type**: No. 139
**Uncorrected formation energy**: -0.6935 eV/atom

***

Record 15
A geometry-optimized CsI structure, computed with GGA-PBE.

Unit cell a=4.6614 b=4.6614 c=4.6614 alpha=90.00 beta=90.00 gamma=90.00
Fractional coordinates of all 2 atoms:
1 I 0.5000 0.5000 0.5000
2 Cs 0.0000 0.0000 0.0000

**Calculated volume**: 50.64 Å³ per atom
**Space-group type**: No. 221
**Uncorrected formation energy**: -1.5210 eV/atom

***

Record 16
A geometry-optimized Cs4I structure, computed with GGA-PBE.

Unit cell a=7.8114 b=7.8114 c=7.8114 alpha=90.00 beta=90.00 gamma=90.00
Fractional coordinates of all 5 atoms:
1 Cs 0.0000 0.0000 0.0000
2 Cs 0.5000 0.0000 0.5000
3 Cs 0.0000 0.5000 0.5000
4 Cs 0.5000 0.5000 0.0000
5 I 0.5000 0.5000 0.5000

**Calculated volume**: 95.33 Å³ per atom
**Space-group type**: No. 221
**E above lowest polymorph**: 0 meV per atom
**Uncorrected formation energy**: -0.5727 eV/atom

***

Record 17
A geometry-optimized CsI structure, computed with GGA-PBE.

Unit cell a=15.7332 b=15.9883 c=13.2097 alpha=90.00 beta=90.00 gamma=90.00
Site moments in Bohr magnetons follow the coordinates.
Fractional coordinates of all 32 atoms:
1 Cs 0.0000 0.6679 0.0000  0.00
2 Cs 0.7500 0.4179 0.7500  0.00
3 Cs 0.0000 0.1679 0.5000  0.00
4 Cs 0.5000 0.3321 0.5000  0.00
5 Cs 0.0000 0.8321 0.5000  0.00
6 Cs 0.2500 0.5821 0.7500  0.00
7 Cs 0.7500 0.5821 0.2500  0.00
8 Cs 0.5000 0.1679 0.0000  0.00
9 Cs 0.5000 0.6679 0.5000  0.00
10 Cs 0.7500 0.9179 0.2500  0.00
11 Cs 0.5000 0.8321 0.0000  0.00
12 Cs 0.0000 0.3321 0.0000  0.00
13 Cs 0.2500 0.0821 0.2500  0.00
14 Cs 0.2500 0.9179 0.7500  0.00
15 Cs 0.7500 0.0821 0.7500  0.00
16 Cs 0.2500 0.4179 0.2500  0.00
17 I 0.0794 0.2500 0.2500  0.06
18 I 0.0794 0.7500 0.7500  0.06
19 I 0.4206 0.2500 0.2500  0.06
20 I 0.3294 0.5000 0.5000  0.06
21 I 0.4206 0.7500 0.7500  0.06
22 I 0.8294 0.0000 0.5000  0.06
23 I 0.6706 0.0000 0.0000  0.06
24 I 0.6706 0.5000 0.5000  0.06
25 I 0.8294 0.5000 0.0000  0.06
26 I 0.9206 0.2500 0.7500  0.06
27 I 0.5794 0.7500 0.2500  0.06
28 I 0.1706 0.5000 0.0000  0.06
29 I 0.1706 0.0000 0.5000  0.06
30 I 0.3294 0.0000 0.0000  0.06
31 I 0.5794 0.2500 0.7500  0.06
32 I 0.9206 0.7500 0.2500  0.06

**Calculated volume**: 103.84 Å³ per atom
**Space-group type**: No. 70
**Uncorrected formation energy**: -1.4393 eV/atom

***

Record 18
A geometry-optimized CsI structure, computed with GGA-PBE.

Unit cell a=11.9118 b=11.9118 c=11.9118 alpha=90.00 beta=90.00 gamma=90.00
Site moments in Bohr magnetons follow the coordinates.
Fractional coordinates of all 16 atoms:
1 Cs 0.8412 0.8412 0.8412  0.00
2 Cs 0.1588 0.8412 0.1588  0.00
3 Cs 0.6588 0.6588 0.3412  0.00
4 Cs 0.3412 0.3412 0.3412  0.00
5 Cs 0.8412 0.1588 0.1588  0.00
6 Cs 0.1588 0.1588 0.8412  0.00
7 Cs 0.6588 0.3412 0.6588  0.00
8 Cs 0.3412 0.6588 0.6588  0.00
9 I 0.3402 0.6599 0.3402  0.06
10 I 0.6599 0.6599 0.6599  0.06
11 I 0.6599 0.3402 0.3402  0.06
12 I 0.1598 0.1598 0.1598  0.06
13 I 0.8402 0.8402 0.1598  0.06
14 I 0.3402 0.3402 0.6599  0.06
15 I 0.8402 0.1598 0.8402  0.06
16 I 0.1598 0.8402 0.8402  0.06

**Calculated volume**: 105.64 Å³ per atom
**Space-group type**: No. 217
**Uncorrected formation energy**: -1.4428 eV/atom

***

Record 19
A geometry-optimized CsI structure, computed with GGA-PBE.

Unit cell a=8.7178 b=8.7178 c=8.7178 alpha=90.00 beta=90.00 gamma=90.00
Site moments in Bohr magnetons follow the coordinates.
Fractional coordinates of all 8 atoms:
1 Cs 0.5000 0.0000 0.5000  0.00
2 Cs 0.0000 0.0000 0.0000  0.00
3 Cs 0.5000 0.5000 0.0000  0.00
4 Cs 0.0000 0.5000 0.5000  0.00
5 I 0.7500 0.7500 0.2500  0.06
6 I 0.7500 0.2500 0.7500  0.06
7 I 0.2500 0.7500 0.7500  0.06
8 I 0.2500 0.2500 0.2500  0.06

**Calculated volume**: 82.82 Å³ per atom
**Space-group type**: No. 216
**Uncorrected formation energy**: -1.4581 eV/atom

***

Record 20
A geometry-optimized Cs3I structure, computed with GGA-PBE.

Unit cell a=9.6682 b=10.6467 c=14.5888 alpha=90.00 beta=90.00 gamma=90.00
Fractional coordinates of all 16 atoms:
1 Cs 0.3281 0.8153 0.5715
2 Cs 0.6719 0.1847 0.4285
3 Cs 0.6594 0.4650 0.7500
4 Cs 0.3406 0.5350 0.2500
5 Cs 0.8406 0.9650 0.7500
6 Cs 0.6719 0.1847 0.0715
7 Cs 0.8281 0.6847 0.4285
8 Cs 0.1719 0.3153 0.5715
9 Cs 0.1719 0.3153 0.9285
10 Cs 0.1594 0.0350 0.2500
11 Cs 0.3281 0.8153 0.9285
12 Cs 0.8281 0.6847 0.0715
13 I 0.5000 0.5000 0.0000
14 I 0.5000 0.5000 0.5000
15 I 0.0000 0.0000 0.0000
16 I 0.0000 0.0000 0.5000

**Calculated volume**: 93.86 Å³ per atom
**Space-group type**: No. 62
**E above lowest polymorph**: 10 meV per atom
**Uncorrected formation energy**: -0.6992 eV/atom

***

Number 1: total energy -2.06 eV per atom. Number 2: total energy -1.54 eV per atom. Number 3: total energy -1.73 eV per atom. Number 4: total energy -2.55 eV per atom. Number 5: total energy -2.71 eV per atom. Number 6: total energy -1.92 eV per atom. Number 7: total energy -2.70 eV per atom. Number 8: total energy -2.49 eV per atom. Number 9: total energy -1.74 eV per atom. Number 10: total energy -2.20 eV per atom. Number 11: total energy -1.96 eV per atom. Number 12: total energy -1.98 eV per atom. Number 13: total energy -2.65 eV per atom. Number 14: total energy -2.07 eV per atom. Number 15: total energy -2.72 eV per atom. Number 16: total energy -1.57 eV per atom. Number 17: total energy -2.64 eV per atom. Number 18: total energy -2.64 eV per atom. Number 19: total energy -2.66 eV per atom. Number 20: total energy -1.73 eV per atom.